The following is a PBE calculation of crystalline LiTaMn at its relaxed geometry, from the Alexandria database.

Cell lengths 4.181, 4.181, 4.181 Å; angles 60.00, 60.00, 60.00 degrees
Last column: magnetic moment on the atom in μB.
Fractional coordinates of all 3 atoms:
Mn  0.500  0.500  0.500  1.98
Ta  0.250  0.250  0.250  -0.70
Li  0.000  0.000  0.000  -0.06

Output
Offset from the most stable computed form = 234 kJ/mol of formula units



The following is a PBE calculation of crystalline LiTa2Mn at its relaxed geometry, from the Alexandria database.

Cell lengths 5.588, 4.987, 2.738 Å; angles 81.78, 76.42, 119.72 degrees
Last column: magnetic moment on the atom in μB.
Fractional coordinates of all 4 atoms:
Ta  0.000  0.000  0.000  -0.15
Li  0.000  0.500  0.500  -0.02
Mn  0.500  0.500  0.000  1.71
Ta  0.500  0.000  0.500  -0.15

Output
Offset from the most stable computed form = 78 kJ/mol of formula units



The following is a PBE calculation of crystalline Li2TaMn at its relaxed geometry, from the Alexandria database.

Cell lengths 3.315, 3.315, 5.239 Å; angles 90.00, 90.00, 90.00 degrees
Last column: magnetic moment on the atom in μB.
Fractional coordinates of all 4 atoms:
Mn  0.500  0.500  0.250  3.00
Ta  0.500  0.500  0.750  -0.36
Li  0.000  0.000  0.023  -0.03
Li  0.000  0.000  0.477  -0.03

Output
Offset from the most stable computed form = 141 kJ/mol of formula units



The following is a PBE calculation of crystalline LiTa2Mn at its relaxed geometry, from the Alexandria database.

Cell lengths 4.413, 2.746, 5.056 Å; angles 80.51, 90.00, 90.00 degrees
Fractional coordinates of all 4 atoms:
Mn  0.500  0.707  0.774
Ta  0.000  0.964  0.964
Ta  0.500  0.248  0.270
Li  0.000  0.581  0.493

Output
Offset from the most stable computed form = 67 kJ/mol of formula units



The following is a PBE calculation of crystalline LiTaMn at its relaxed geometry, from the Alexandria database.

Cell lengths 4.133, 4.133, 4.133 Å; angles 60.00, 60.00, 60.00 degrees
Last column: magnetic moment on the atom in μB.
Fractional coordinates of all 3 atoms:
Mn  0.250  0.250  0.250  1.62
Li  0.500  0.500  0.500  -0.02
Ta  0.000  0.000  0.000  -0.55

Output
Offset from the most stable computed form = 167 kJ/mol of formula units



The following is a PBE calculation of crystalline LiTa2Mn at its relaxed geometry, from the Alexandria database.

Cell lengths 4.358, 4.358, 4.358 Å; angles 60.00, 60.00, 60.00 degrees
Fractional coordinates of all 4 atoms:
Mn  0.500  0.500  0.500
Ta  0.250  0.250  0.250
Li  0.000  0.000  0.000
Ta  0.750  0.750  0.750

Output
Offset from the most stable computed form = 0 kJ/mol of formula units



The following is a PBE calculation of crystalline LiTaMn at its relaxed geometry, from the Alexandria database.

Cell lengths 6.885, 6.885, 6.885 Å; angles 156.93, 156.93, 32.86 degrees
Last column: magnetic moment on the atom in μB.
Fractional coordinates of all 3 atoms:
Li  0.993  0.993  0.000  -0.01
Ta  0.680  0.680  0.000  -0.05
Mn  0.327  0.327  0.000  3.23

Output
Offset from the most stable computed form = 7 kJ/mol of formula units



The following is a PBE calculation of crystalline LiTa2Mn at its relaxed geometry, from the Alexandria database.

Cell lengths 2.783, 2.783, 9.098 Å; angles 90.00, 90.00, 111.01 degrees
Last column: magnetic moment on the atom in μB.
Fractional coordinates of all 4 atoms:
Ta  0.000  0.000  0.968  -0.08
Mn  0.500  0.500  0.750  0.76
Ta  0.000  0.000  0.532  -0.08
Li  0.500  0.500  0.250  0.00

Output
Offset from the most stable computed form = 45 kJ/mol of formula units



The following is a PBE calculation of crystalline Li2TaMn at its relaxed geometry, from the Alexandria database.

Cell lengths 2.700, 2.700, 9.881 Å; angles 90.00, 90.00, 113.63 degrees
Last column: magnetic moment on the atom in μB.
Fractional coordinates of all 4 atoms:
Li  0.000  0.000  0.011  -0.03
Mn  0.500  0.500  0.250  3.51
Ta  0.500  0.500  0.750  -0.01
Li  0.000  0.000  0.489  -0.03

Output
Offset from the most stable computed form = 53 kJ/mol of formula units



The following is a PBE calculation of crystalline LiTa3Mn at its relaxed geometry, from the Alexandria database.

Cell lengths 4.333, 4.333, 4.333 Å; angles 90.00, 90.00, 90.00 degrees
Fractional coordinates of all 5 atoms:
Ta  0.000  0.000  0.500
Mn  0.500  0.500  0.500
Li  0.000  0.000  0.000
Ta  0.500  0.000  0.000
Ta  0.000  0.500  0.000

Output
Offset from the most stable computed form = 261 kJ/mol of formula units



The following is a PBE calculation of crystalline Li2TaMn at its relaxed geometry, from the Alexandria database.

Cell lengths 2.659, 4.769, 4.947 Å; angles 90.00, 90.00, 90.00 degrees
Last column: magnetic moment on the atom in μB.
Fractional coordinates of all 4 atoms:
Li  0.000  0.000  0.004  -0.01
Mn  0.500  0.500  0.250  2.74
Ta  0.500  0.500  0.750  -0.36
Li  0.000  0.000  0.496  -0.01

Output
Offset from the most stable computed form = 82 kJ/mol of formula units



The following is a PBE calculation of crystalline LiTa2Mn at its relaxed geometry, from the Alexandria database.

Cell lengths 6.858, 6.858, 5.559 Å; angles 51.92, 51.92, 90.00 degrees
Fractional coordinates of all 8 atoms:
Li  0.500  0.500  0.000
Ta  0.875  0.899  0.750
Mn  0.000  0.000  0.000
Li  0.250  0.750  0.500
Ta  0.375  0.351  0.750
Mn  0.750  0.250  0.500
Ta  0.649  0.125  0.250
Ta  0.101  0.625  0.250

Output
Offset from the most stable computed form = 207 kJ/mol of formula units



The following is a PBE calculation of crystalline Li2TaMn at its relaxed geometry, from the Alexandria database.

Cell lengths 4.333, 4.333, 4.333 Å; angles 119.95, 119.95, 90.09 degrees
Last column: magnetic moment on the atom in μB.
Fractional coordinates of all 4 atoms:
Li  0.250  0.750  0.500  -0.02
Ta  0.750  0.250  0.500  -0.81
Mn  0.500  0.500  0.000  2.06
Li  0.000  0.000  0.000  -0.05

Output
Offset from the most stable computed form = 99 kJ/mol of formula units



The following is a PBE calculation of crystalline Li2TaMn at its relaxed geometry, from the Alexandria database.

Cell lengths 3.151, 3.096, 7.355 Å; angles 65.52, 90.00, 90.00 degrees
Last column: magnetic moment on the atom in μB.
Fractional coordinates of all 4 atoms:
Mn  0.000  0.472  0.527  0.83
Li  0.500  0.229  0.271  0.00
Li  0.000  0.992  0.009  -0.01
Ta  0.500  0.807  0.693  -0.22

Output
Offset from the most stable computed form = 12 kJ/mol of formula units



The following is a PBE calculation of crystalline LiTa2Mn at its relaxed geometry, from the Alexandria database.

Cell lengths 5.260, 5.260, 5.260 Å; angles 145.89, 130.99, 61.07 degrees
Fractional coordinates of all 4 atoms:
Ta  0.030  0.030  0.000
Ta  0.752  0.252  0.500
Mn  0.243  0.743  0.500
Li  0.475  0.475  0.000

Output
Offset from the most stable computed form = 42 kJ/mol of formula units



The following is a PBE calculation of crystalline LiTa2Mn at its relaxed geometry, from the Alexandria database.

Cell lengths 9.117, 9.117, 9.117 Å; angles 18.51, 18.51, 18.51 degrees
Last column: magnetic moment on the atom in μB.
Fractional coordinates of all 4 atoms:
Li  0.250  0.250  0.250  0.01
Mn  0.750  0.750  0.750  0.73
Ta  0.489  0.489  0.489  -0.02
Ta  0.011  0.011  0.011  -0.02

Output
Offset from the most stable computed form = 96 kJ/mol of formula units



The following is a PBE calculation of crystalline Li2TaMn at its relaxed geometry, from the Alexandria database.

Cell lengths 2.751, 2.751, 9.363 Å; angles 90.00, 90.00, 107.00 degrees
Last column: magnetic moment on the atom in μB.
Fractional coordinates of all 4 atoms:
Mn  0.000  0.000  0.509  2.95
Li  0.500  0.500  0.269  -0.03
Ta  0.500  0.500  0.726  -0.16
Li  0.000  0.000  0.996  0.00

Output
Offset from the most stable computed form = 0 kJ/mol of formula units



The following is a PBE calculation of crystalline Li2TaMn at its relaxed geometry, from the Alexandria database.

Cell lengths 2.777, 2.777, 8.791 Å; angles 90.00, 90.00, 90.00 degrees
Last column: magnetic moment on the atom in μB.
Fractional coordinates of all 4 atoms:
Mn  0.000  0.000  0.505  3.21
Li  0.500  0.500  0.269  -0.01
Li  0.000  0.000  0.001  0.01
Ta  0.500  0.500  0.726  -0.02

Output
Offset from the most stable computed form = 7 kJ/mol of formula units



The following is a PBE calculation of crystalline Li2TaMn at its relaxed geometry, from the Alexandria database.

Cell lengths 4.915, 4.915, 4.915 Å; angles 143.55, 122.34, 70.17 degrees
Last column: magnetic moment on the atom in μB.
Fractional coordinates of all 4 atoms:
Mn  0.501  0.501  0.000  2.17
Li  0.751  0.251  0.500  -0.02
Ta  0.266  0.766  0.500  -0.57
Li  0.982  0.982  0.000  -0.02

Output
Offset from the most stable computed form = 84 kJ/mol of formula units



The following is a PBE calculation of crystalline LiTa3Mn at its relaxed geometry, from the Alexandria database.

Cell lengths 4.623, 4.623, 4.623 Å; angles 90.00, 90.00, 90.00 degrees
Fractional coordinates of all 5 atoms:
Ta  0.000  0.500  0.000
Mn  0.000  0.000  0.000
Li  0.500  0.500  0.500
Ta  0.000  0.000  0.500
Ta  0.500  0.000  0.000

Output
Offset from the most stable computed form = 0 kJ/mol of formula units



Formation energy from the elements: 1167; 342; 637; 313; 935; 140; 382; 255; 409; 1407; 483; 675; 528; 302; 250; 389; 271; 290; 489; 866 (meV per atom)
Volume: 17.2; 15.3; 14.4; 15.1; 16.6; 14.6; 16.7; 16.4; 16.5; 16.3; 15.7; 16.0; 14.4; 16.3; 15.3; 16.7; 16.9; 16.9; 14.7; 19.8 (Å³/atom)